First-principles (PBE) data for LaCo2Rh2 after structural relaxation, as listed in the Alexandria database.

- volume (Å³ per atom) = 15.95
- DFT formation energy (meV/atom) = -24

The structure in CIF format:
```
data_LaCo2Rh2
_chemical_formula_sum 'La2 Co4 Rh4'
_cell_length_a 7.4414
_cell_length_b 7.4414
_cell_length_c 2.8809
_cell_angle_alpha 90.00
_cell_angle_beta 90.00
_cell_angle_gamma 90.00
_symmetry_space_group_name_H-M 'P 4/m b m'
_symmetry_Int_Tables_number 127
_symmetry_space_group_name_Hall '-P 4 2ab'
loop_
_atom_site_label
_atom_site_type_symbol
_atom_site_fract_x
_atom_site_fract_y
_atom_site_fract_z
La1 La 0.0000 0.0000 0.0000
Co1 Co 0.1149 0.3851 0.0000
Rh1 Rh 0.1744 0.6744 0.5000
```

***

First-principles (PBE) data for CrPtSeN2 after structural relaxation, as listed in the Alexandria database.

- volume (Å³ per atom) = 14.46
- raw formation energy (meV per atom) = 646

The structure in CIF format:
```
data_CrPtSeN2
_chemical_formula_sum 'Cr1 Pt1 Se1 N2'
_cell_length_a 3.6196
_cell_length_b 3.6196
_cell_length_c 5.5170
_cell_angle_alpha 90.00
_cell_angle_beta 90.00
_cell_angle_gamma 90.00
_symmetry_space_group_name_H-M 'P 4/m m m'
_symmetry_Int_Tables_number 123
_symmetry_space_group_name_Hall '-P 4 2'
loop_
_atom_site_label
_atom_site_type_symbol
_atom_site_fract_x
_atom_site_fract_y
_atom_site_fract_z
Cr1 Cr 0.0000 0.0000 0.0000
Pt1 Pt 0.5000 0.5000 0.5000
Se1 Se 0.0000 0.0000 0.5000
N1 N 0.0000 0.5000 0.0000
```

***

First-principles (PBE) data for Re2SbRh2 after structural relaxation, as listed in the Alexandria database.

- volume (Å³ per atom) = 16.88
- raw formation energy (meV per atom) = 323

The structure in CIF format:
```
data_Re2SbRh2
_chemical_formula_sum 'Re4 Sb2 Rh4'
_cell_length_a 7.7878
_cell_length_b 7.7878
_cell_length_c 2.7840
_cell_angle_alpha 90.00
_cell_angle_beta 90.00
_cell_angle_gamma 90.00
_symmetry_space_group_name_H-M 'P 4/m b m'
_symmetry_Int_Tables_number 127
_symmetry_space_group_name_Hall '-P 4 2ab'
loop_
_atom_site_label
_atom_site_type_symbol
_atom_site_fract_x
_atom_site_fract_y
_atom_site_fract_z
Re1 Re 0.1187 0.3813 0.0000
Sb1 Sb 0.0000 0.0000 0.0000
Rh1 Rh 0.1678 0.6678 0.5000
```

***

Calculated values (meV/atom) of relative energy among the computed polymorphs for the records, taken in order: 140, 0, 0.